# CdH2Rh2 | Alexandria | PBE | relaxed
# Total magnetization, μB/atom: 0.000
# Uncorrected energy, eV per atom: -4.20
# Energy above the most stable polymorph in this dataset, meV/atom: 335.8
data_CdH2Rh2
_chemical_formula_sum 'Cd2 H4 Rh4'
_cell_length_a 6.271
_cell_length_b 6.271
_cell_length_c 2.856
_cell_angle_alpha 90.00
_cell_angle_beta 90.00
_cell_angle_gamma 90.00
_space_group_name_H-M_alt 'P 4/m b m'
_space_group_IT_number 127
_space_group_name_Hall '-P 4 2ab'
loop_
_atom_site_label
_atom_site_type_symbol
_atom_site_fract_x
_atom_site_fract_y
_atom_site_fract_z
Cd1 Cd 0.000 0.000 0.000
H1 H 0.075 0.425 0.000
Rh1 Rh 0.146 0.646 0.500